Crystalline PSNF2 at its relaxed geometry. Source: Alexandria via LeMat-Bulk, functional PBE.

POSCAR file:
```
PSNF2
1.0
-2.557 -2.017 3.333
0.651 -4.152 -2.013
2.686 -0.447 1.790
N S F P
1 1 2 1
Direct
0.000 0.000 0.500
0.000 0.000 0.000
0.000 0.500 0.000
0.500 0.000 0.000
0.500 0.500 0.500
```

Computed properties:
As for the energy above the most stable polymorph in this dataset: 339.9 meV per atom. The calculation puts the total energy at -18.53 eV/cell. The raw formation energy is 616 meV per atom. The space group is No. 123.